# Na4Pm3MoO8 PBE+U optimized geometry
# Crystal system ... trigonal
# Total energy ... -6.527 eV per atom
data_Na4Pm3MoO8
_chemical_formula_sum 'Na12 Pm9 Mo3 O24'
_cell_length_a 6.9419
_cell_length_b 6.9419
_cell_length_c 16.8434
_cell_angle_alpha 90.00
_cell_angle_beta 90.00
_cell_angle_gamma 120.00
_symmetry_space_group_name_H-M 'R -3 m'
_symmetry_Int_Tables_number 166
_symmetry_space_group_name_Hall '-R 3 2"'
loop_
_atom_site_label
_atom_site_fract_x
_atom_site_fract_y
_atom_site_fract_z
Na1 0.0000 0.0000 0.0000
Na2 0.0000 0.5000 0.0000
Pm1 0.0000 0.5000 0.5000
Mo1 0.0000 0.0000 0.5000
O1 0.0000 0.0000 0.2390
O2 0.0144 0.5072 0.2382